# Y4Sc2Au3N3 GGA-PBE relaxed
# electronic total energy	-348.10	eV for the cell shown
data_Y4Sc2Au3N3
_symmetry_space_group_name_H-M 'C 1 2/c 1'
_symmetry_Int_Tables_number 15
_cell_length_a 10.352
_cell_length_b 5.973
_cell_length_c 14.652
_cell_angle_alpha 90.00
_cell_angle_beta 103.54
_cell_angle_gamma 90.00
loop_
_symmetry_equiv_pos_as_xyz
'x,y,z'
'-x,-y,-z'
'-x,y,-z+1/2'
'x,-y,z+1/2'
'x+1/2,y+1/2,z'
'-x+1/2,-y+1/2,-z'
'-x+1/2,y+1/2,-z+1/2'
'x+1/2,-y+1/2,z+1/2'
loop_
_atom_site_label
_atom_site_fract_x
_atom_site_fract_y
_atom_site_fract_z
Y1 0.117 0.078 0.100
Y2 0.214 0.086 0.400
Sc1 0.060 0.414 0.922
Au1 0.000 0.135 0.750
Au2 0.142 0.442 0.249
N1 0.080 0.260 0.500
N2 0.250 0.250 0.000